Computed, not measured: a geometry-optimized Ho2RuC2 structure at the PBE-GGA level of DFT.

Summary:
Formation energy from the elements: -0.3475 eV/atom
Spin magnetization: 0.00 μB per formula unit
Offset from the most stable computed form: 0.0 meV per atom
Energy: -154.47 eV per cell
Crystal system: orthorhombic

Cell and atoms, written as CIF:
```
data_Ho2RuC2
_cell_length_a 6.454
_cell_length_b 5.081
_cell_length_c 9.741
_cell_angle_alpha 90.00
_cell_angle_beta 90.00
_cell_angle_gamma 90.00
_space_group_name_H-M_alt 'P n m a'
_space_group_IT_number 62
_space_group_name_Hall '-P 2ac 2n'
loop_
_atom_site_label
_atom_site_fract_x
_atom_site_fract_y
_atom_site_fract_z
_atom_site_occupancy
Ho1 0.027 0.250 0.216 1
Ho2 0.177 0.250 0.555 1
Ru1 0.219 0.250 0.866 1
C1 0.045 0.750 0.242 1
C2 0.174 0.750 0.555 1
```

=====

Computed, not measured: a geometry-optimized La2YZr structure at the PBE-GGA level of DFT.

Summary:
Formation energy from the elements: 0.1391 eV/atom
Spin magnetization: 0.00 μB per formula unit
Offset from the most stable computed form: 40.0 meV per atom
Energy: -72.93 eV per cell
Crystal system: trigonal

Cell and atoms, written as CIF:
```
data_La2YZr
_cell_length_a 3.5347
_cell_length_b 3.5347
_cell_length_c 34.6325
_cell_angle_alpha 90.00
_cell_angle_beta 90.00
_cell_angle_gamma 120.00
_space_group_name_H-M_alt 'R 3 m'
_space_group_IT_number 160
_space_group_name_Hall 'R 3 -2"'
loop_
_atom_site_label
_atom_site_fract_x
_atom_site_fract_y
_atom_site_fract_z
_atom_site_occupancy
La1 0.0000 0.0000 0.0000 1
La2 0.0000 0.0000 0.1764 1
Y1 0.0000 0.0000 0.4196 1
Zr1 0.0000 0.0000 0.5890 1
```

=====

Computed, not measured: a geometry-optimized BaCd2Pt structure at the PBE-GGA level of DFT.

Summary:
Formation energy from the elements: -0.1645 eV/atom
Spin magnetization: 0.00 μB per formula unit
Energy: -41.81 eV per cell
Crystal system: cubic

Cell and atoms, written as CIF:
```
data_BaCd2Pt
_cell_length_a 7.464
_cell_length_b 7.464
_cell_length_c 7.464
_cell_angle_alpha 90.00
_cell_angle_beta 90.00
_cell_angle_gamma 90.00
_space_group_name_H-M_alt 'F m -3 m'
_space_group_IT_number 225
_space_group_name_Hall '-F 4 2 3'
loop_
_atom_site_label
_atom_site_fract_x
_atom_site_fract_y
_atom_site_fract_z
_atom_site_occupancy
Ba1 0.000 0.000 0.000 1
Cd1 0.250 0.250 0.250 1
Pt1 0.000 0.000 0.500 1
```